Here is NbSbAuI2 after structural relaxation from the Alexandria database. Energies are from PBE-GGA.

DOS at the Fermi energy = 0.77 states/eV/atom
VASP energy = -3.620 eV per atom
ΔE_f (raw) = 2.5 eV per formula unit
mass density = 6.75 g/cm3

Cell and atoms, written as CIF:
```
data_NbSbAuI2
_symmetry_space_group_name_H-M 'P 4/m m m'
_symmetry_Int_Tables_number 123
_symmetry_space_group_name_Hall '-P 4 2'
_cell_length_a 5.403
_cell_length_b 5.403
_cell_length_c 5.611
_cell_angle_alpha 90.00
_cell_angle_beta 90.00
_cell_angle_gamma 90.00
loop_
_atom_site_label
_atom_site_type_symbol
_atom_site_fract_x
_atom_site_fract_y
_atom_site_fract_z
Nb1 Nb 0.000 0.000 0.000
Sb1 Sb 0.000 0.000 0.500
Au1 Au 0.500 0.500 0.500
I1 I 0.000 0.500 0.000
```